[1]
BeV2C | GGA-PBE | optimized geometry

**Energy of formation from the pure elements**: -0.22 eV per atom
**Relative energy among the computed polymorphs**: 0 meV/atom
**DFT total energy**: -8.020 eV per atom
**Calculated volume**: 10.74 A^3/atom

Lattice parameters (Å, degrees): 2.8803 2.8803 17.9412 90.00 90.00 120.00
Closest atoms and distances in Å follow each position.
Space group R-3m (No. 166, hexagonal axes)
Symmetry-distinct sites (fractional):
Be: 0.0000 0.0000 0.0000 [3 per cell]  6 V 2.49
V: 0.0000 0.0000 0.2298 [6 per cell]  3 C 2.01
C: 0.0000 0.0000 0.5000 [3 per cell]  6 V 2.01



[2]
BeV8C2 | GGA-PBE | optimized geometry

**Energy of formation from the pure elements**: -0.11 eV per atom
**DFT total energy**: -8.762 eV per atom
**Calculated volume**: 11.52 A^3/atom

Lattice parameters (Å, degrees): 6.4405 9.7654 4.1112 90.00 101.55 90.00
Closest atoms and distances in Å follow each position.
Space group C2/m (No. 12)
Symmetry-distinct sites (fractional):
Be: 0.0000 0.0000 0.0000 [2 per cell]  8 V 2.42-2.70
V: 0.0000 0.2474 0.0000 [4 per cell]  2 C 2.16
V: 0.1072 0.5000 0.8130 [4 per cell]  2 C 2.25, 3 V 2.26-2.48, 1 Be 2.49
V: 0.2009 0.1267 0.5598 [8 per cell]  2 C 2.07-2.23
C: 0.0000 0.3141 0.5000 [4 per cell]  8 V 2.07-2.25



[3]
BeV3C | GGA-PBE | optimized geometry

**Energy of formation from the pure elements**: -0.07 eV per atom
**Relative energy among the computed polymorphs**: 142 meV/atom
**DFT total energy**: -8.132 eV per atom
**Calculated volume**: 12.01 A^3/atom

Lattice parameters (Å, degrees): 3.9158 3.9158 3.9158 90.00 90.00 90.00
Closest atoms and distances in Å follow each position.
Space group Pm-3m (No. 221)
Symmetry-distinct sites (fractional):
Be: 0.0000 0.0000 0.0000 [1 per cell]  12 V 2.77
V: 0.0000 0.5000 0.5000 [3 per cell]  2 C 1.96
C: 0.5000 0.5000 0.5000 [1 per cell]  6 V 1.96